Entry 1:
22
Lattice="2.1039 -6.9920 0.0000 2.1039 6.9920 0.0000 0.0000 0.0000 22.0621" Properties=species:S:1:pos:R:3 comment="GGA-PBE Sm4TlSe6, optimized geometry" e_tot_ev_per_atom=-5.481 crystal_system=orthorhombic pbc="T T T"
Sm 2.1039 5.6481 13.9701
Sm 2.1039 5.6481 19.1231
Sm 2.1039 1.8558 11.9515
Sm 2.1039 1.8558 21.1416
Sm 2.1039 -1.8558 0.9205
Sm 2.1039 -1.8558 10.1106
Sm 2.1039 -5.6481 2.9390
Sm 2.1039 -5.6481 8.0920
Tl 2.1039 4.7454 5.5155
Tl 2.1039 -4.7454 16.5466
Se 0.0000 0.0000 0.0000
Se 0.0000 0.0000 11.0311
Se 2.1039 4.6097 16.5466
Se 2.1039 3.1907 1.7834
Se 2.1039 3.1907 9.2477
Se 2.1039 0.5396 14.4604
Se 2.1039 0.5396 18.6328
Se 2.1039 -0.5396 3.4293
Se 2.1039 -0.5396 7.6017
Se 2.1039 -3.1907 12.8144
Se 2.1039 -3.1907 20.2787
Se 2.1039 -4.6097 5.5155

***

Entry 2:
14
Lattice="8.0177 -4.1058 0.0000 8.0177 4.1058 0.0000 -5.1366 0.0000 7.4897" Properties=species:S:1:pos:R:3 comment="GGA-PBE SmTl3Se3, optimized geometry" e_tot_ev_per_atom=-4.072 crystal_system=monoclinic pbc="T T T"
Sm 0.9908 0.0000 3.4347
Sm 9.9081 0.0000 4.0551
Tl 4.0123 0.0000 0.0085
Tl 8.0177 1.9338 0.0000
Tl 5.4494 1.9398 3.7449
Tl 8.0177 -1.9338 0.0000
Tl 5.4494 -1.9398 3.7449
Tl 6.8865 0.0000 7.4813
Se 10.5649 -2.0519 2.1320
Se 0.3340 2.0519 5.3577
Se -3.8047 0.0000 5.6539
Se 10.5649 2.0519 2.1320
Se 0.3340 -2.0519 5.3577
Se 14.7036 0.0000 1.8359

***

Entry 3:
14
Lattice="2.0783 -6.8819 0.0000 2.0783 6.8819 0.0000 0.0000 0.0000 14.2876" Properties=species:S:1:pos:R:3 comment="GGA-PBE Sm4TlSe2, optimized geometry" e_tot_ev_per_atom=-5.189 crystal_system=orthorhombic pbc="T T T"
Sm 0.0000 0.0000 0.0000
Sm 0.0000 0.0000 7.1438
Sm 2.0783 3.1625 8.8654
Sm 2.0783 3.1625 12.5661
Sm 2.0783 0.9266 3.5719
Sm 2.0783 -0.9266 10.7157
Sm 2.0783 -3.1625 1.7216
Sm 2.0783 -3.1625 5.4222
Tl 2.0783 5.4183 3.5719
Tl 2.0783 -5.4183 10.7157
Se 2.0783 1.8739 0.8518
Se 2.0783 1.8739 6.2920
Se 2.0783 -1.8739 7.9957
Se 2.0783 -1.8739 13.4358

***

Entry 4:
20
Lattice="9.1707 0.0000 0.0000 0.0000 4.1408 0.0000 0.0000 0.0000 15.6527" Properties=species:S:1:pos:R:3 comment="GGA-PBE Sm3TlSe, optimized geometry" e_tot_ev_per_atom=-4.874 crystal_system=orthorhombic pbc="T T T"
Sm 0.2539 1.0352 1.7480
Sm 1.4535 1.0352 8.2401
Sm 1.6793 3.1056 4.4805
Sm 2.9060 1.0352 12.3069
Sm 3.1319 3.1056 0.4137
Sm 4.3314 3.1056 9.5743
Sm 4.8392 1.0352 6.0784
Sm 6.0388 1.0352 15.2390
Sm 6.2647 3.1056 3.3458
Sm 7.4913 1.0352 11.1722
Sm 7.7172 3.1056 7.4126
Sm 8.9167 3.1056 13.9048
Tl 0.8562 3.1056 10.7013
Tl 3.7292 1.0352 2.8750
Tl 5.4415 3.1056 12.7778
Tl 8.3145 1.0352 4.9514
Se 1.5758 1.0352 14.8161
Se 3.0095 3.1056 6.9897
Se 6.1612 1.0352 8.6630
Se 7.5948 3.1056 0.8366

***

Entry 5:
14
Lattice="0.0000 6.1750 6.1750 6.1750 0.0000 6.1750 6.1750 6.1750 0.0000" Properties=species:S:1:pos:R:3 comment="GGA-PBE Sm5TlSe8, optimized geometry" e_tot_ev_per_atom=-5.494 crystal_system=cubic pbc="T T T"
Sm 0.0000 0.0000 0.0000
Sm 4.6822 4.6822 4.6822
Sm 7.6679 7.6679 4.6822
Sm 7.6679 4.6822 7.6679
Sm 4.6822 7.6679 7.6679
Tl 9.2625 9.2625 9.2625
Se 1.6383 1.6383 1.6383
Se 4.5367 4.5367 1.6383
Se 4.5367 1.6383 4.5367
Se 7.5408 4.8093 4.8093
Se 1.6383 4.5367 4.5367
Se 4.8093 7.5408 4.8093
Se 4.8093 4.8093 7.5408
Se 7.5408 7.5408 7.5408

***

Entry 6:
6
Lattice="2.4270 1.4012 9.3191 -2.4270 1.4012 9.3191 0.0000 -2.8024 9.3191" Properties=species:S:1:pos:R:3 comment="GGA-PBE SmTlSe, optimized geometry" e_tot_ev_per_atom=-4.512 crystal_system=trigonal pbc="T T T"
Sm 0.0000 0.0000 6.4314
Sm 0.0000 0.0000 21.5258
Tl 0.0000 0.0000 9.9629
Tl 0.0000 0.0000 17.9943
Se 0.0000 0.0000 3.4481
Se 0.0000 0.0000 24.5091